[1]
Pr2NpRu3 | PBE | optimized geometry

Output
* calculated total energy: -8.648 eV per atom
* ΔE_f: -0.26 eV per atom

Cell and atoms, written as extended XYZ:
```
12
Lattice="5.972 0.000 0.000 -2.986 5.172 0.000 0.000 0.000 8.051" Properties=species:S:1:pos:R:3 pbc="T T T"
Pr 0.000 3.448 4.498
Pr 2.986 1.724 0.472
Ru 2.986 3.501 6.038
Pr 0.000 3.448 7.579
Np 0.000 0.000 4.026
Ru 0.000 1.671 2.013
Pr 2.986 1.724 3.553
Ru -1.539 4.336 2.013
Ru 1.539 4.336 2.013
Ru 1.447 0.836 6.038
Np 0.000 0.000 0.000
Ru 4.525 0.836 6.038
```



[2]
PrNpRu | PBE | optimized geometry

Output
* calculated total energy: -8.452 eV per atom
* ΔE_f: 0.55 eV per atom

Cell and atoms, written as extended XYZ:
```
12
Lattice="5.124 0.000 0.000 2.562 4.209 0.000 2.562 0.000 11.765" Properties=species:S:1:pos:R:3 pbc="T T T"
Ru 5.124 0.000 10.264
Pr 2.562 2.749 0.000
Np 2.562 0.000 8.801
Pr 5.124 1.460 0.000
Pr 6.405 0.644 5.882
Pr 6.405 3.565 5.882
Ru 3.843 2.104 7.383
Np 5.124 0.000 2.964
Np 6.405 2.104 2.918
Np 6.405 2.104 8.847
Ru 3.843 2.104 4.382
Ru 2.562 0.000 1.501
```



- Among the records above, which one has the lowest ΔE_f?
  Pr2NpRu3